[1]
# GGA-PBE NaPrAgSb, relaxed
# D(E_F)	0.416	states/eV/atom
# total magnetic moment	0.0	μB per formula unit
# SG	F-43m
# E_form (uncorrected)	-1.91	eV/f.u.
# V	106.6	Å³/f.u.
data_NaPrAgSb
_space_group_name_H-M_alt 'P 1'
_space_group_IT_number 1
_cell_length_a 5.322
_cell_length_b 5.322
_cell_length_c 5.322
_cell_angle_alpha 60.00
_cell_angle_beta 60.00
_cell_angle_gamma 60.00
loop_
_space_group_symop_operation_xyz
'x,y,z'
loop_
_atom_site_label
_atom_site_fract_x
_atom_site_fract_y
_atom_site_fract_z
Pr1 0.000 0.000 0.000
Sb1 0.750 0.750 0.750
Ag1 0.250 0.250 0.250
Na1 0.500 0.500 0.500



[2]
# GGA-PBE Ce5Dy3Hg12, relaxed
# D(E_F)	2.324	states/eV/atom
# total magnetic moment	6.2	μB per formula unit
# SG	Ia-3d
# formation energy	0.0466	eV/atom
# V	685.7	Å³/f.u.
data_Ce5Dy3Hg12
_space_group_name_H-M_alt 'P 1'
_space_group_IT_number 1
_cell_length_a 15.274
_cell_length_b 15.274
_cell_length_c 15.274
_cell_angle_alpha 109.47
_cell_angle_beta 109.47
_cell_angle_gamma 109.47
loop_
_space_group_symop_operation_xyz
'x,y,z'
loop_
_atom_site_label
_atom_site_fract_x
_atom_site_fract_y
_atom_site_fract_z
Dy1 0.750 0.375 0.125
Dy2 0.875 0.750 0.125
Dy3 0.375 0.750 0.625
Dy4 0.250 0.125 0.375
Dy5 0.875 0.125 0.250
Dy6 0.375 0.625 0.250
Dy7 0.625 0.375 0.750
Dy8 0.125 0.875 0.750
Dy9 0.750 0.875 0.625
Dy10 0.625 0.250 0.375
Dy11 0.125 0.250 0.875
Dy12 0.250 0.625 0.875
Ce1 0.125 0.375 0.250
Ce2 0.000 0.500 0.000
Ce3 0.000 0.000 0.000
Ce4 0.375 0.250 0.125
Ce5 0.500 0.000 0.500
Ce6 0.500 0.500 0.000
Ce7 0.125 0.750 0.375
Ce8 0.750 0.125 0.875
Ce9 0.750 0.625 0.375
Ce10 0.375 0.125 0.750
Ce11 0.625 0.875 0.250
Ce12 0.500 0.500 0.500
Ce13 0.500 0.000 0.000
Ce14 0.000 0.000 0.500
Ce15 0.250 0.375 0.625
Ce16 0.250 0.875 0.125
Ce17 0.000 0.500 0.500
Ce18 0.875 0.250 0.625
Ce19 0.625 0.750 0.875
Ce20 0.875 0.625 0.750
Hg1 0.732 0.150 0.074
Hg2 0.342 0.574 0.425
Hg3 0.926 0.350 0.268
Hg4 0.574 0.232 0.150
Hg5 0.582 0.732 0.658
Hg6 0.926 0.575 0.158
Hg7 0.342 0.768 0.418
Hg8 0.075 0.918 0.150
Hg9 0.575 0.926 0.658
Hg10 0.732 0.582 0.158
Hg11 0.768 0.426 0.350
Hg12 0.842 0.925 0.074
Hg13 0.150 0.732 0.574
Hg14 0.350 0.425 0.082
Hg15 0.082 0.925 0.350
Hg16 0.418 0.150 0.575
Hg17 0.082 0.158 0.232
Hg18 0.426 0.658 0.075
Hg19 0.842 0.918 0.268
Hg20 0.150 0.418 0.075
Hg21 0.350 0.926 0.768
Hg22 0.575 0.650 0.418
Hg23 0.925 0.842 0.574
Hg24 0.768 0.342 0.918
Hg25 0.425 0.350 0.582
Hg26 0.075 0.158 0.426
Hg27 0.232 0.658 0.082
Hg28 0.158 0.082 0.732
Hg29 0.650 0.074 0.232
Hg30 0.850 0.582 0.925
Hg31 0.574 0.342 0.925
Hg32 0.582 0.850 0.425
Hg33 0.918 0.842 0.768
Hg34 0.918 0.075 0.650
Hg35 0.850 0.268 0.426
Hg36 0.158 0.075 0.926
Hg37 0.650 0.575 0.918
Hg38 0.425 0.074 0.342
Hg39 0.268 0.418 0.842
Hg40 0.232 0.574 0.650
Hg41 0.925 0.082 0.850
Hg42 0.658 0.232 0.582
Hg43 0.426 0.768 0.850
Hg44 0.074 0.425 0.842
Hg45 0.418 0.268 0.342
Hg46 0.074 0.650 0.732
Hg47 0.658 0.426 0.575
Hg48 0.268 0.850 0.926



[3]
# GGA-PBE BaCaPrBiO6, relaxed
# D(E_F)	0.000	states/eV/atom
# total magnetic moment	0.0	μB per formula unit
# SG	P-1
# E_form (uncorrected)	-23.10	eV/f.u.
# V	163.9	Å³/f.u.
# relative energy among the computed polymorphs	0.000	eV/atom
data_BaCaPrBiO6
_space_group_name_H-M_alt 'P 1'
_space_group_IT_number 1
_cell_length_a 6.068
_cell_length_b 6.177
_cell_length_c 8.747
_cell_angle_alpha 90.10
_cell_angle_beta 89.83
_cell_angle_gamma 90.08
loop_
_space_group_symop_operation_xyz
'x,y,z'
loop_
_atom_site_label
_atom_site_fract_x
_atom_site_fract_y
_atom_site_fract_z
Ba1 0.008 0.039 0.749
Ba2 0.992 0.961 0.251
Ca1 0.499 0.533 0.751
Ca2 0.501 0.467 0.249
Pr1 0.500 0.000 0.000
Pr2 0.000 0.500 0.500
Bi1 0.000 0.500 0.000
Bi2 0.500 0.000 0.500
O1 0.816 0.212 0.035
O2 0.675 0.706 0.433
O3 0.184 0.788 0.965
O4 0.325 0.294 0.567
O5 0.708 0.681 0.065
O6 0.793 0.185 0.475
O7 0.292 0.319 0.935
O8 0.207 0.815 0.525
O9 0.568 0.923 0.737
O10 0.886 0.493 0.764
O11 0.432 0.077 0.263
O12 0.114 0.507 0.236